DFT (PBE) results for crystalline La5Sm2YTh at its relaxed geometry.

a = 5.5513 Å, b = 22.0268 Å, c = 10.6473 Å
α = 90.00°, β = 90.00°, γ = 90.00°
Last column: nearest neighbours and their distance in Å.
Space group Cmcm (No. 63)
One atom of each set of equivalent atoms:
1 La 0.0000 0.0000 0.0000 [4 per cell]  2 Y 3.49, 4 Sm 3.71, 6 La 3.85-3.90
2 La 0.0000 0.1293 0.2500 [4 per cell]  1 Th 3.52, 4 La 3.89-3.90, 4 Sm 3.90
3 La 0.0000 0.2244 0.5582 [8 per cell]  2 La 3.24, 1 Y 3.37, 3 Th 3.46-3.58
4 La 0.0000 0.4991 0.7500 [4 per cell]  2 Y 3.59, 4 Sm 3.60-3.65, 6 La 3.85-3.96
5 Sm 0.0000 0.3881 0.0050 [8 per cell]  1 Th 3.40, 7 La 3.60-3.76
6 Y 0.0000 0.1027 0.7500 [4 per cell]  6 La 3.37-3.59, 2 Th 3.66
7 Th 0.0000 0.2890 0.2500 [4 per cell]  2 Sm 3.40, 7 La 3.46-3.58, 2 Y 3.66

E_form = 0.1236 eV per atom

=====

DFT (PBE) results for crystalline Cs2LiRhBr6 at its relaxed geometry.

a = 7.6174 Å, b = 7.6174 Å, c = 10.7878 Å
α = 90.00°, β = 90.00°, γ = 90.00°
Last column: nearest neighbours and their distance in Å.
Space group I4/mmm (No. 139)
One atom of each set of equivalent atoms:
1 Cs 0.0000 0.5000 0.2500 [4 per cell]  12 Br 3.81
2 Li 0.0000 0.0000 0.0000 [2 per cell]  6 Br 2.85
3 Rh 0.0000 0.0000 0.5000 [2 per cell]  6 Br 2.54
4 Br 0.0000 0.0000 0.2645 [4 per cell]  1 Rh 2.54
5 Br 0.2359 0.2359 0.5000 [8 per cell]  1 Rh 2.54, 1 Li 2.85

formation energy from raw total energies = -1.1541 eV per atom
ΔE to the lowest computed polymorph = 8.3 meV per atom

=====

DFT (PBE) results for crystalline K3U2InO9 at its relaxed geometry.

a = 6.0343 Å, b = 6.0343 Å, c = 7.4018 Å
α = 90.00°, β = 90.00°, γ = 120.00°
Last column: nearest neighbours and their distance in Å.
Space group P-3m1 (No. 164)
One atom of each set of equivalent atoms:
1 K 0.0000 0.0000 0.0000 [1 per cell]  12 O 3.01-3.02
2 K 0.3333 0.6667 0.6589 [2 per cell]  12 O 2.98-3.07
3 U 0.3333 0.6667 0.1723 [2 per cell]  6 O 2.04-2.16
4 In 0.0000 0.0000 0.5000 [1 per cell]  6 O 2.21
5 O 0.0000 0.5000 0.0000 [3 per cell]  2 U 2.16
6 O 0.1717 0.3435 0.3267 [6 per cell]  1 U 2.04, 1 In 2.21

formation energy from raw total energies = -2.5494 eV per atom

=====

DFT (PBE) results for crystalline Rb2NaBr at its relaxed geometry.

a = 4.3252 Å, b = 4.3252 Å, c = 10.3818 Å
α = 90.00°, β = 90.00°, γ = 90.00°
Last column: nearest neighbours and their distance in Å.
Space group P4/mmm (No. 123)
One atom of each set of equivalent atoms:
1 Rb 0.0000 0.0000 0.1962 [2 per cell]  4 Br 3.67, 1 Rb 4.07
2 Na 0.5000 0.5000 0.5000 [1 per cell]  4 Na 4.33, 8 Rb 4.39
3 Br 0.5000 0.5000 0.0000 [1 per cell]  8 Rb 3.67

formation energy from raw total energies = -0.7842 eV per atom
ΔE to the lowest computed polymorph = 3.1 meV per atom